No. 1
Pm2PuF8 | PBE-GGA | relaxed

Theoretical density in g/cm³: 7.877
Formation energy without anion corrections in eV per atom: -3.723
Magnetic moment in μB/cell: 6.002
Energy relative to the lowest polymorph listed for this composition in kJ/mol of formula units: 95.3

Cell: 3.8434 6.5959 6.8638 Å, 118.72 106.26 90.00°
With the nearest neighbours (Å) after each atom.
Positions (direct):
F  0.6629  0.8796  0.3258  3 Pm 2.41-2.57, 5 F 2.53-2.68, 1 Pu 2.64
F  0.6629  0.4462  0.3258  3 Pm 2.41-2.57, 5 F 2.53-2.68, 1 Pu 2.64
F  0.8457  0.8457  0.6914  8 F 2.53-2.71, 2 Pu 2.61, 2 Pm 2.68
F  0.0000  0.6877  0.0000  2 Pm 2.42, 7 F 2.48-2.71
F  0.0000  0.3123  0.0000  2 Pm 2.42, 7 F 2.48-2.71
F  0.3371  0.5538  0.6742  3 Pm 2.41-2.57, 5 F 2.53-2.68, 1 Pu 2.64
F  0.3371  0.1204  0.6742  3 Pm 2.41-2.57, 5 F 2.53-2.68, 1 Pu 2.64
F  0.1543  0.1543  0.3086  8 F 2.53-2.71, 2 Pu 2.61, 2 Pm 2.68
Pm  0.8176  0.3176  0.6351  10 F 2.41-2.68
Pm  0.1824  0.6824  0.3649  10 F 2.41-2.68
Pu  0.5000  0.0000  0.0000  12 F 2.61-2.82

No. 2
PmPuF4 | PBE-GGA | relaxed

Theoretical density in g/cm³: 7.456
Formation energy without anion corrections in eV per atom: -3.282
Magnetic moment in μB/cell: 6.646

Cell: 3.9105 3.9105 6.7724 Å, 89.98 90.00 90.00°
With the nearest neighbours (Å) after each atom.
Positions (direct):
F  0.5012  0.9972  0.1928  2 Pm 2.36, 1 F 2.64
F  0.5012  0.9975  0.8035  2 Pm 2.36, 1 F 2.64
F  0.0013  0.4977  0.8035  2 Pm 2.36, 1 F 2.64
F  0.0013  0.4973  0.1928  2 Pm 2.36, 1 F 2.64
Pm  0.5013  0.4974  0.9982  8 F 2.36
Pu  0.0016  0.9967  0.4982  8 F 2.84-2.85

No. 3
PmPu2F11 | PBE-GGA | relaxed

Theoretical density in g/cm³: 5.707
Formation energy without anion corrections in eV per atom: -3.628
Magnetic moment in μB/cell: 16.000

Cell: 8.4590 8.7179 8.7179 Å, 72.67 60.98 60.98°
With the nearest neighbours (Å) after each atom.
Positions (direct):
F  0.2276  0.5415  0.1784  1 Pu 2.19, 1 Pm 2.36
F  0.5524  0.0415  0.6784  1 Pu 2.19, 1 Pm 2.36
F  0.8673  0.7864  0.2136  1 Pu 2.12
F  0.7724  0.4585  0.8216  1 Pu 2.19, 1 Pm 2.36
F  0.9476  0.8216  0.4585  1 Pu 2.19, 1 Pm 2.36
F  0.5000  0.5000  0.5000  2 Pu 2.27, 2 F 2.48
F  0.8561  0.9333  0.7968  1 Pu 2.18, 1 Pm 2.38
F  0.5861  0.2032  0.0667  1 Pu 2.18, 1 Pm 2.38
F  0.4476  0.9585  0.3216  1 Pu 2.19, 1 Pm 2.36
F  0.1327  0.2136  0.7864  1 Pu 2.12
F  0.2724  0.3216  0.9585  1 Pu 2.19, 1 Pm 2.36
F  0.3561  0.2968  0.4333  1 Pu 2.18, 1 Pm 2.38
F  0.0861  0.5667  0.7032  1 Pu 2.18, 1 Pm 2.38
F  0.0524  0.1784  0.5415  1 Pu 2.19, 1 Pm 2.36
F  0.6439  0.7032  0.5667  1 Pu 2.18, 1 Pm 2.38
F  0.6327  0.2864  0.7136  1 Pu 2.12
F  0.7276  0.6784  0.0415  1 Pu 2.19, 1 Pm 2.36
F  0.9139  0.4333  0.2968  1 Pu 2.18, 1 Pm 2.38
F  0.0000  0.0000  0.0000  2 Pu 2.27, 2 F 2.48
F  0.3673  0.7136  0.2864  1 Pu 2.12
F  0.4139  0.7968  0.9333  1 Pu 2.18, 1 Pm 2.38
F  0.1439  0.0667  0.2032  1 Pu 2.18, 1 Pm 2.38
Pm  0.2500  0.2500  0.2500  8 F 2.36-2.38
Pm  0.7500  0.7500  0.7500  8 F 2.36-2.38
Pu  0.3473  0.3198  0.6802  6 F 2.12-2.27
Pu  0.6527  0.6802  0.3198  6 F 2.12-2.27
Pu  0.1527  0.8198  0.1802  6 F 2.12-2.27
Pu  0.8473  0.1802  0.8198  6 F 2.12-2.27

No. 4
RbPmF3 | PBE-GGA | relaxed

Theoretical density in g/cm³: 3.227
Formation energy without anion corrections in eV per atom: -2.889
Magnetic moment in μB/cell: 0.103

Cell: 5.6398 7.8002 7.8002 Å, 76.01 68.81 68.81°
With the nearest neighbours (Å) after each atom.
Positions (direct):
F  0.9366  0.8224  0.8224  1 Pm 2.13
F  0.5813  0.1776  0.1776  1 Pm 2.13
F  0.5000  0.3557  0.6443  2 Pm 2.33
F  0.4187  0.8224  0.8224  1 Pm 2.13
F  0.5000  0.6443  0.3557  2 Pm 2.33
F  0.0634  0.1776  0.1776  1 Pm 2.13
Pm  0.6720  0.3280  0.3280  4 F 2.13-2.33
Pm  0.3280  0.6720  0.6720  4 F 2.13-2.33
Rb  0.0000  0.1830  0.8170  6 F 2.95-3.27
Rb  0.0000  0.8170  0.1830  6 F 2.95-3.27

No. 5
RbPm3F9 | PBE-GGA | relaxed

Theoretical density in g/cm³: 3.656
Formation energy without anion corrections in eV per atom: -3.703
Magnetic moment in μB/cell: 0.000

Cell: 4.5525 8.9251 8.9251 Å, 120.00 90.00 90.00°
With the nearest neighbours (Å) after each atom.
Positions (direct):
F  0.5000  0.4345  0.2173  2 Pm 2.29
F  0.5000  0.7827  0.5655  2 Pm 2.29
F  0.5000  0.7827  0.2173  2 Pm 2.29
F  0.0000  0.5000  0.0000  2 Pm 2.28
F  0.0000  0.0000  0.5000  2 Pm 2.28
F  0.5000  0.2173  0.4345  2 Pm 2.29
F  0.0000  0.5000  0.5000  2 Pm 2.28
F  0.5000  0.5655  0.7827  2 Pm 2.29
F  0.5000  0.2173  0.7827  2 Pm 2.29
Pm  0.5000  0.5000  0.5000  6 F 2.28-2.29
Pm  0.5000  0.5000  0.0000  6 F 2.28-2.29
Pm  0.5000  0.0000  0.5000  6 F 2.28-2.29
Rb  0.0000  0.0000  0.0000  18 F 4.06-4.46

No. 6
Rb2PmF4 | PBE-GGA | relaxed

Theoretical density in g/cm³: 3.233
Formation energy without anion corrections in eV per atom: -3.030
Magnetic moment in μB/cell: 0.000
Energy relative to the lowest polymorph listed for this composition in kJ/mol of formula units: 10.8

Cell: 4.5615 4.5615 10.1975 Å, 77.08 77.08 90.00°
With the nearest neighbours (Å) after each atom.
Positions (direct):
F  0.5000  0.0000  0.0000  2 Pm 2.28
F  0.8850  0.8850  0.2300  1 Pm 2.23
F  0.1150  0.1150  0.7700  1 Pm 2.23
F  0.0000  0.5000  0.0000  2 Pm 2.28
Rb  0.3435  0.3435  0.3129  4 F 3.32
Rb  0.6565  0.6565  0.6871  4 F 3.32
Pm  0.0000  0.0000  0.0000  6 F 2.23-2.28